No. 1
Density functional theory data (GGA-PBEsol) for crystalline CdHg4 at its relaxed geometry.

Space group: No. 217
Energy of formation from the pure elements, meV/atom: 74
Distance to the lowest polymorph of the same formula, meV per atom: 60

Cell lengths 8.6380, 8.6380, 8.6380 Å; angles 109.47, 109.47, 109.47 degrees
With the nearest neighbours (Å) after each atom.
Fractional coordinates of all 20 atoms:
Cd 0.0000 0.0000 0.3185  4 Hg 2.78-2.85
Cd 0.0000 0.3185 0.0000  4 Hg 2.78-2.85
Cd 0.3185 0.0000 0.0000  4 Hg 2.78-2.85
Cd 0.6815 0.6815 0.6815  4 Hg 2.78-2.85
Hg 0.0000 0.0000 0.6399  1 Cd 2.78, 3 Hg 2.98
Hg 0.0000 0.3355 0.3355  2 Cd 2.85, 6 Hg 2.98
Hg 0.0000 0.6399 0.0000  1 Cd 2.78, 3 Hg 2.98
Hg 0.0000 0.6645 0.6645  2 Cd 2.85, 6 Hg 2.98
Hg 0.2500 0.5000 0.7500  4 Hg 2.98
Hg 0.2500 0.7500 0.5000  4 Hg 2.98
Hg 0.3355 0.0000 0.3355  2 Cd 2.85, 6 Hg 2.98
Hg 0.3355 0.3355 0.0000  2 Cd 2.85, 6 Hg 2.98
Hg 0.3601 0.3601 0.3601  1 Cd 2.78, 3 Hg 2.98
Hg 0.5000 0.2500 0.7500  4 Hg 2.98
Hg 0.5000 0.7500 0.2500  4 Hg 2.98
Hg 0.6399 0.0000 0.0000  1 Cd 2.78, 3 Hg 2.98
Hg 0.6645 0.0000 0.6645  2 Cd 2.85, 6 Hg 2.98
Hg 0.6645 0.6645 0.0000  2 Cd 2.85, 6 Hg 2.98
Hg 0.7500 0.2500 0.5000  4 Hg 2.98
Hg 0.7500 0.5000 0.2500  4 Hg 2.98

No. 2
Density functional theory data (GGA-PBEsol) for crystalline InHg4Pb at its relaxed geometry.

Space group: No. 216
Energy of formation from the pure elements, meV/atom: 48

Cell lengths 5.9621, 5.9621, 5.9621 Å; angles 60.00, 60.00, 60.00 degrees
With the nearest neighbours (Å) after each atom.
Fractional coordinates of all 6 atoms:
In 0.0000 0.0000 0.0000  12 Hg 3.50, 4 Pb 3.65
Hg 0.1248 0.6251 0.6251  6 Hg 2.98
Hg 0.6251 0.1248 0.6251  6 Hg 2.98
Hg 0.6251 0.6251 0.1248  6 Hg 2.98
Hg 0.6251 0.6251 0.6251  6 Hg 2.98
Pb 0.2500 0.2500 0.2500  12 Hg 3.50, 4 In 3.65

No. 3
Density functional theory data (GGA-PBEsol) for crystalline Ca2ZnSe at its relaxed geometry.

Space group: No. 166
Formation energy (no corrections), meV/atom: -911
Distance to the lowest polymorph of the same formula, meV per atom: 0

Cell lengths 4.0377, 4.0377, 22.6334 Å; angles 90.00, 90.00, 120.00 degrees
With the nearest neighbours (Å) after each atom.
Fractional coordinates of all 12 atoms:
Ca 0.0000 0.0000 0.2428  3 Se 2.90, 3 Zn 3.10
Ca 0.0000 0.0000 0.7572  3 Se 2.90, 3 Zn 3.10
Ca 0.3333 0.6667 0.4239  3 Se 2.90, 3 Zn 3.10
Ca 0.3333 0.6667 0.9095  3 Se 2.90, 3 Zn 3.10
Ca 0.6667 0.3333 0.0905  3 Se 2.90, 3 Zn 3.10
Ca 0.6667 0.3333 0.5761  3 Se 2.90, 3 Zn 3.10
Zn 0.0000 0.0000 0.0000  6 Ca 3.10
Zn 0.3333 0.6667 0.6667  6 Ca 3.10
Zn 0.6667 0.3333 0.3333  6 Ca 3.10
Se 0.0000 0.0000 0.5000  6 Ca 2.90
Se 0.3333 0.6667 0.1667  6 Ca 2.90
Se 0.6667 0.3333 0.8333  6 Ca 2.90

No. 4
Density functional theory data (GGA-PBEsol) for crystalline KSc2Se at its relaxed geometry.

Space group: No. 65
Formation energy (no corrections), meV/atom: -350

Cell lengths 3.9596, 5.5824, 10.0981 Å; angles 90.00, 90.00, 90.00 degrees
With the nearest neighbours (Å) after each atom.
Fractional coordinates of all 8 atoms:
K 0.0000 0.0000 0.0000  4 K 3.42
K 0.5000 0.5000 0.0000  4 K 3.42
Sc 0.0000 0.5000 0.3306  2 Se 2.62
Sc 0.0000 0.5000 0.6694  2 Se 2.62
Sc 0.5000 0.0000 0.3306  2 Se 2.62
Sc 0.5000 0.0000 0.6694  2 Se 2.62
Se 0.0000 0.0000 0.5000  4 Sc 2.62
Se 0.5000 0.5000 0.5000  4 Sc 2.62

No. 5
Density functional theory data (GGA-PBEsol) for crystalline CdSb2As at its relaxed geometry.

Space group: No. 10
Formation energy (no corrections), meV/atom: 95
Distance to the lowest polymorph of the same formula, meV per atom: 51

Cell lengths 2.9592, 4.0836, 8.3614 Å; angles 90.00, 98.04, 90.00 degrees
With the nearest neighbours (Å) after each atom.
Fractional coordinates of all 4 atoms:
Cd 0.0000 0.0000 0.0000  2 Cd 2.96, 4 Sb 3.01
Sb 0.1042 0.5000 0.7432  2 As 2.87, 2 Sb 2.96, 2 Cd 3.01
Sb 0.8958 0.5000 0.2568  2 As 2.87, 2 Sb 2.96, 2 Cd 3.01
As 0.0000 0.0000 0.5000  4 Sb 2.87, 2 As 2.96

No. 6
Density functional theory data (GGA-PBEsol) for crystalline HRu2Se at its relaxed geometry.

Space group: No. 225
DFT total energy, eV per atom: -6.454

Cell lengths 5.7049, 5.7049, 5.7049 Å; angles 90.00, 90.00, 90.00 degrees
With the nearest neighbours (Å) after each atom.
Fractional coordinates of all 16 atoms:
H 0.0000 0.0000 0.0000  8 Ru 2.47
H 0.0000 0.5000 0.5000  8 Ru 2.47
H 0.5000 0.0000 0.5000  8 Ru 2.47
H 0.5000 0.5000 0.0000  8 Ru 2.47
Ru 0.2500 0.2500 0.2500  4 H 2.47, 4 Se 2.47
Ru 0.2500 0.2500 0.7500  4 H 2.47, 4 Se 2.47
Ru 0.2500 0.7500 0.2500  4 H 2.47, 4 Se 2.47
Ru 0.2500 0.7500 0.7500  4 H 2.47, 4 Se 2.47
Ru 0.7500 0.2500 0.2500  4 H 2.47, 4 Se 2.47
Ru 0.7500 0.2500 0.7500  4 H 2.47, 4 Se 2.47
Ru 0.7500 0.7500 0.2500  4 H 2.47, 4 Se 2.47
Ru 0.7500 0.7500 0.7500  4 H 2.47, 4 Se 2.47
Se 0.0000 0.0000 0.5000  8 Ru 2.47
Se 0.0000 0.5000 0.0000  8 Ru 2.47
Se 0.5000 0.0000 0.0000  8 Ru 2.47
Se 0.5000 0.5000 0.5000  8 Ru 2.47

No. 7
Density functional theory data (GGA-PBEsol) for crystalline WSe3I at its relaxed geometry.

Space group: No. 221
Formation energy (no corrections), meV/atom: 209

Cell lengths 4.9055, 4.9055, 4.9055 Å; angles 90.00, 90.00, 90.00 degrees
With the nearest neighbours (Å) after each atom.
Fractional coordinates of all 5 atoms:
W 0.0000 0.0000 0.0000  6 Se 2.45
Se 0.0000 0.0000 0.5000  2 W 2.45
Se 0.0000 0.5000 0.0000  2 W 2.45
Se 0.5000 0.0000 0.0000  2 W 2.45
I 0.5000 0.5000 0.5000  12 Se 3.47

No. 8
Density functional theory data (GGA-PBEsol) for crystalline Na2Hg2Mo at its relaxed geometry.

Space group: No. 139
Energy of formation from the pure elements, meV/atom: 710

Cell lengths 3.7618, 3.7618, 14.8506 Å; angles 90.00, 90.00, 90.00 degrees
With the nearest neighbours (Å) after each atom.
Fractional coordinates of all 10 atoms:
Na 0.0000 0.5000 0.2500  4 Na 2.66
Na 0.0000 0.5000 0.7500  4 Na 2.66
Na 0.5000 0.0000 0.2500  4 Na 2.66
Na 0.5000 0.0000 0.7500  4 Na 2.66
Hg 0.0000 0.0000 0.0937  1 Hg 2.78, 4 Na 2.99, 4 Mo 3.00
Hg 0.0000 0.0000 0.9063  1 Hg 2.78, 4 Na 2.99, 4 Mo 3.00
Hg 0.5000 0.5000 0.4063  1 Hg 2.78, 4 Na 2.99, 4 Mo 3.00
Hg 0.5000 0.5000 0.5937  1 Hg 2.78, 4 Na 2.99, 4 Mo 3.00
Mo 0.0000 0.0000 0.5000  8 Hg 3.00
Mo 0.5000 0.5000 0.0000  8 Hg 3.00